Entry 1:
{
  "formula": "LaPuPdRh",
  "functional": "PBE-GGA",
  "state": "relaxed",
  "cell": [[4.188, 0.000, 0.000], [0.000, 1.974, 5.671], [0.000, -1.974, 5.671]],
  "species": ["La", "Pu", "Pd", "Rh"],
  "fractional_positions": [[0.000, 0.000, 0.000], [0.500, 0.722, 0.722], [0.500, 0.434, 0.434], [0.000, 0.255, 0.255]],
  "e_tot_ev_per_atom": -8.56,
  "e_above_lowest_polymorph_ev_per_atom": 0.000,
  "ef_ev_per_atom": -0.607,
  "dos_at_fermi_per_ev_fu": 11.9
}

Entry 2:
{
  "formula": "LaPu2Sb2Pd2",
  "functional": "PBE-GGA",
  "state": "relaxed",
  "cell": [[2.353, 1.359, 8.917], [-2.353, 1.359, 8.917], [0.000, -2.717, 8.917]],
  "species": ["La", "Pu", "Pu", "Sb", "Sb", "Pd", "Pd"],
  "fractional_positions": [[0.000, 0.000, 0.000], [0.143, 0.143, 0.143], [0.857, 0.857, 0.857], [0.263, 0.263, 0.263], [0.737, 0.737, 0.737], [0.439, 0.439, 0.439], [0.561, 0.561, 0.561]],
  "e_form_raw_ev_per_atom": -0.763,
  "e_tot_ev_per_atom": -8.22,
  "dos_at_fermi_per_ev_fu": 13.2
}

Entry 3:
{
  "formula": "La2PuSb4Pd3",
  "functional": "PBE-GGA",
  "state": "relaxed",
  "cell": [[4.650, 0.000, 0.000], [0.000, 4.650, 0.000], [0.000, 0.000, 11.838]],
  "species": ["La", "La", "Pu", "Sb", "Sb", "Sb", "Sb", "Pd", "Pd", "Pd"],
  "fractional_positions": [[0.000, 0.500, 0.228], [0.500, 0.000, 0.772], [0.000, 0.000, 0.500], [0.000, 0.000, 0.000], [0.000, 0.500, 0.660], [0.500, 0.000, 0.340], [0.500, 0.500, 0.000], [0.000, 0.500, 0.883], [0.500, 0.000, 0.117], [0.500, 0.500, 0.500]],
  "e_form_raw_ev_per_atom": -0.756,
  "e_tot_ev_per_atom": -6.38,
  "dos_at_fermi_per_ev_fu": 16.9
}

Entry 4:
{
  "formula": "LaPuSb2Pd2",
  "functional": "PBE-GGA",
  "state": "relaxed",
  "cell": [[4.624, 0.000, 0.000], [-2.312, 4.005, 0.000], [0.000, 0.000, 7.982]],
  "species": ["La", "Pu", "Sb", "Sb", "Pd", "Pd"],
  "fractional_positions": [[0.000, 0.000, 0.000], [0.000, 0.000, 0.500], [0.333, 0.667, 0.259], [0.667, 0.333, 0.741], [0.333, 0.667, 0.738], [0.667, 0.333, 0.262]],
  "e_form_raw_ev_per_atom": -0.907,
  "e_tot_ev_per_atom": -7.22,
  "dos_at_fermi_per_ev_fu": 13.3
}

What did the third record say?
{
  "formula": "La2PuSb4Pd3",
  "functional": "PBE-GGA",
  "state": "relaxed",
  "cell": [[4.650, 0.000, 0.000], [0.000, 4.650, 0.000], [0.000, 0.000, 11.838]],
  "species": ["La", "La", "Pu", "Sb", "Sb", "Sb", "Sb", "Pd", "Pd", "Pd"],
  "fractional_positions": [[0.000, 0.500, 0.228], [0.500, 0.000, 0.772], [0.000, 0.000, 0.500], [0.000, 0.000, 0.000], [0.000, 0.500, 0.660], [0.500, 0.000, 0.340], [0.500, 0.500, 0.000], [0.000, 0.500, 0.883], [0.500, 0.000, 0.117], [0.500, 0.500, 0.500]],
  "e_form_raw_ev_per_atom": -0.756,
  "e_tot_ev_per_atom": -6.38,
  "dos_at_fermi_per_ev_fu": 16.9
}